Material: Cd14SnBi
Method: DFT, PBE-GGA
State: relaxed

Geometry as POSCAR:
```
Cd14SnBi
1.0
10.295 0.000 0.000
0.000 3.162 5.903
0.000 -3.162 5.903
Cd Sn Bi
14 1 1
Direct
0.000 0.000 0.000
0.000 0.012 0.511
0.000 0.499 0.499
0.000 0.511 0.012
0.231 0.344 0.836
0.231 0.836 0.344
0.248 0.339 0.339
0.249 0.839 0.839
0.500 0.141 0.628
0.500 0.628 0.141
0.751 0.839 0.839
0.752 0.339 0.339
0.769 0.344 0.836
0.769 0.836 0.344
0.500 0.644 0.644
0.500 0.121 0.121
```

Results
For the final energy, the calculation gives -1.254 eV per atom. Its space group is No. 38. The formation energy comes out at 61 kJ/mol of formula units. The spin magnetization is 0.0 μB per formula unit.